Arrangement P

Computed, not measured: a relaxed BaMg14Sb crystal at the PBE-GGA level of DFT.

## Properties
Total moment, μB/atom: 0.0000
Theoretical density, g cm⁻³: 2.45

Lattice parameters (Å, degrees): 6.6556 6.6556 10.5765 90.00 90.00 120.00
Fractional coordinates of all 16 atoms:
Ba 0.0000 0.0000 0.0000
Mg 0.0160 0.5080 0.0000
Mg 0.9870 0.4935 0.5000
Mg 0.4920 0.9840 0.0000
Mg 0.5065 0.0130 0.5000
Mg 0.4920 0.5080 0.0000
Mg 0.5065 0.4935 0.5000
Mg 0.1718 0.8282 0.2656
Mg 0.1718 0.8282 0.7344
Mg 0.1718 0.3435 0.2656
Mg 0.1718 0.3435 0.7344
Mg 0.6565 0.8282 0.2656
Mg 0.6565 0.8282 0.7344
Mg 0.6667 0.3333 0.2407
Mg 0.6667 0.3333 0.7593
Sb 0.0000 0.0000 0.5000



Arrangement Q

Computed, not measured: a relaxed BaMg14Sb crystal at the PBE-GGA level of DFT.

## Properties
Total moment, μB/atom: 0.0000
Theoretical density, g cm⁻³: 2.45

Lattice parameters (Å, degrees): 6.7312 6.7312 10.6080 90.00 90.00 122.32
Fractional coordinates of all 16 atoms:
Ba 0.8241 0.1759 0.5000
Mg 0.8302 0.1698 0.0000
Mg 0.3275 0.6725 0.0000
Mg 0.3287 0.1804 0.5000
Mg 0.3270 0.1592 0.0000
Mg 0.8196 0.6713 0.5000
Mg 0.8408 0.6730 0.0000
Mg 0.1728 0.3293 0.2347
Mg 0.1728 0.3293 0.7653
Mg 0.6707 0.8272 0.2347
Mg 0.6707 0.8272 0.7653
Mg 0.6607 0.3393 0.2373
Mg 0.6607 0.3393 0.7627
Mg 0.1710 0.8290 0.2629
Mg 0.1710 0.8290 0.7371
Sb 0.3516 0.6484 0.5000



Name the most stable of them. arrangement Q.



Arrangement P

Computed, not measured: a relaxed BaMgSb crystal at the PBE-GGA level of DFT.

## Properties
Total moment, μB/atom: 0.0000
Theoretical density, g cm⁻³: 3.84

Lattice parameters (Å, degrees): 5.5739 5.5739 5.5739 60.00 60.00 60.00
Fractional coordinates of all 3 atoms:
Ba 0.7500 0.7500 0.7500
Mg 0.0000 0.0000 0.0000
Sb 0.5000 0.5000 0.5000



Arrangement Q

Computed, not measured: a relaxed BaMgSb crystal at the PBE-GGA level of DFT.

## Properties
Total moment, μB/atom: 0.2954
Theoretical density, g cm⁻³: 4.72

Lattice parameters (Å, degrees): 4.8430 4.8430 8.5076 90.00 90.00 90.00
Each line ends with the local moment (μB).
Fractional coordinates of all 6 atoms:
Ba 0.0000 0.5000 0.8484  0.21
Ba 0.5000 0.0000 0.1516  0.21
Sb 0.0000 0.5000 0.2962  -0.01
Sb 0.5000 0.0000 0.7038  -0.01
Mg 0.5000 0.5000 0.5000  0.02
Mg 0.0000 0.0000 0.5000  0.02



Name the most stable of them. arrangement Q.



Arrangement P

Computed, not measured: a relaxed BaMgSb crystal at the PBE-GGA level of DFT.

## Properties
Total moment, μB/atom: 0.0000
Theoretical density, g cm⁻³: 4.59

Lattice parameters (Å, degrees): 5.2552 5.2552 5.2552 60.00 60.00 60.00
Fractional coordinates of all 3 atoms:
Ba 0.5000 0.5000 0.5000
Mg 0.7500 0.7500 0.7500
Sb 0.0000 0.0000 0.0000



Arrangement Q

Computed, not measured: a relaxed BaMgSb crystal at the PBE-GGA level of DFT.

## Properties
Total moment, μB/atom: 0.0000
Theoretical density, g cm⁻³: 4.69

Lattice parameters (Å, degrees): 6.7885 6.7885 6.7885 143.12 147.52 49.95
Fractional coordinates of all 3 atoms:
Ba 0.0048 0.0048 0.0000
Mg 0.2964 0.2964 0.0000
Sb 0.6988 0.6988 0.0000



Arrangement R

Computed, not measured: a relaxed BaMgSb crystal at the PBE-GGA level of DFT.

## Properties
Total moment, μB/atom: 0.2808
Theoretical density, g cm⁻³: 4.52

Lattice parameters (Å, degrees): 4.8919 4.8919 5.0184 90.00 90.00 120.00
Each line ends with the local moment (μB).
Fractional coordinates of all 3 atoms:
Ba 0.0000 0.0000 0.9999  0.14
Mg 0.6667 0.3333 0.5000  0.03
Sb 0.3333 0.6667 0.5001  0.01



Name the most stable of them. arrangement R.



Arrangement P

Computed, not measured: a relaxed BaMg3Sb crystal at the PBE-GGA level of DFT.

## Properties
Total moment, μB/atom: 0.0000
Theoretical density, g cm⁻³: 2.35

Lattice parameters (Å, degrees): 6.1701 6.1701 6.1701 90.00 90.00 90.00
Fractional coordinates of all 5 atoms:
Sb 0.5000 0.5000 0.5000
Mg 0.0000 0.5000 0.0000
Mg 0.0000 0.0000 0.5000
Mg 0.5000 0.0000 0.0000
Ba 0.0000 0.0000 0.0000



Arrangement Q

Computed, not measured: a relaxed BaMg3Sb crystal at the PBE-GGA level of DFT.

## Properties
Total moment, μB/atom: 0.0000
Theoretical density, g cm⁻³: 3.03

Lattice parameters (Å, degrees): 5.6637 5.6637 5.6637 90.00 90.00 90.00
Fractional coordinates of all 5 atoms:
Sb 0.0000 0.0000 0.0000
Mg 0.0000 0.5000 0.0000
Mg 0.0000 0.0000 0.5000
Mg 0.5000 0.0000 0.0000
Ba 0.5000 0.5000 0.5000



Name the most stable of them. arrangement Q.